BeMoIO2 | GGA+U | relaxed

Computed properties:
- total energy (eV/atom) = -4.8534
- relative energy among the computed polymorphs (meV per atom) = 0

Unit cell a=3.8776 b=3.8776 c=7.6257 alpha=90.00 beta=90.00 gamma=90.00
Last column: nearest neighbours and their distance in Å.
Element x y z (fractional)
Be: 0.0000 0.0000 0.0000  4 I 2.74
Mo: 0.5000 0.5000 0.5000  4 O 1.94
I: 0.5000 0.5000 0.0000  4 Be 2.74
O: 0.0000 0.5000 0.5000  2 Mo 1.94
O: 0.5000 0.0000 0.5000  2 Mo 1.94